Here is a relaxed structure of BaPdSO from the Open Quantum Materials Database. Energies are from GGA-PBE.

The excess energy over the best structure of this formula in the dataset comes out at 149.7 meV/atom. The space-group type is Pbca, No. 61. As for the crystal system: orthorhombic. Its total DFT energy (no corrections) is -169.425 eV per cell.

a = 7.564 Å, b = 12.824 Å, c = 7.235 Å
α = 90.00°, β = 90.00°, γ = 90.00°
Atoms (fractional coordinates):
Ba 0.900 0.304 0.246
Ba 0.600 0.804 0.246
Ba 0.400 0.304 0.254
Ba 0.100 0.804 0.254
Ba 0.900 0.196 0.746
Ba 0.600 0.696 0.746
Ba 0.400 0.196 0.754
Ba 0.100 0.696 0.754
O 0.155 0.231 0.021
O 0.345 0.731 0.021
O 0.655 0.231 0.479
O 0.845 0.731 0.479
O 0.155 0.269 0.521
O 0.345 0.769 0.521
O 0.655 0.269 0.979
O 0.845 0.769 0.979
Pd 0.142 0.076 0.113
Pd 0.358 0.576 0.113
Pd 0.642 0.076 0.387
Pd 0.858 0.576 0.387
Pd 0.142 0.424 0.613
Pd 0.358 0.924 0.613
Pd 0.642 0.424 0.887
Pd 0.858 0.924 0.887
S 0.849 0.020 0.176
S 0.651 0.520 0.176
S 0.349 0.020 0.324
S 0.151 0.520 0.324
S 0.849 0.480 0.676
S 0.651 0.980 0.676
S 0.349 0.480 0.824
S 0.151 0.980 0.824